No. 1
VASP calculation (meta-GGA SCAN) on a crystal of Ta5Se relaxed with PBEsol.

- Space-group type: Cm, No. 8

a = 3.298 Å, b = 5.366 Å, c = 6.410 Å
α = 101.58°, β = 90.00°, γ = 107.90°
Fractional coordinates of all 6 atoms:
Se 0.999 0.997 0.997
Ta 0.294 0.588 0.609
Ta 0.650 0.301 0.282
Ta 0.610 0.220 0.763
Ta 0.967 0.935 0.426
Ta 0.313 0.626 0.090

=====

No. 2
VASP calculation (meta-GGA SCAN) on a crystal of Ta3Se relaxed with PBEsol.

- Space-group type: R-3m, No. 166
- Excess energy over the best structure of this formula in the dataset: 0.1 kJ/mol of atoms

a = 3.218 Å, b = 3.218 Å, c = 8.222 Å
α = 78.71°, β = 78.71°, γ = 60.00°
Fractional coordinates of all 4 atoms:
Se 0.000 0.000 0.000
Ta 0.747 0.747 0.758
Ta 0.500 0.500 0.500
Ta 0.253 0.253 0.242

=====

No. 3
VASP calculation (meta-GGA SCAN) on a crystal of Ta2Se3 relaxed with PBEsol.

- Space-group type: P2_1/m, No. 11

a = 3.355 Å, b = 6.506 Å, c = 9.124 Å
α = 103.81°, β = 90.00°, γ = 90.00°
Fractional coordinates of all 10 atoms:
Se 0.250 0.479 0.208
Se 0.750 0.521 0.792
Se 0.250 0.021 0.843
Se 0.750 0.979 0.157
Se 0.250 0.277 0.485
Se 0.750 0.723 0.515
Ta 0.250 0.684 0.998
Ta 0.750 0.316 0.002
Ta 0.250 0.888 0.365
Ta 0.750 0.112 0.635

=====

No. 4
VASP calculation (meta-GGA SCAN) on a crystal of Ta2Se relaxed with PBEsol.

- Space-group type: P4/nmm, No. 129

a = 3.357 Å, b = 3.357 Å, c = 9.826 Å
α = 90.00°, β = 90.00°, γ = 90.00°
Fractional coordinates of all 6 atoms:
Se 0.000 0.500 0.635
Se 0.500 0.000 0.365
Ta 0.500 0.000 0.758
Ta 0.000 0.500 0.242
Ta 0.000 0.500 0.923
Ta 0.500 0.000 0.077

=====

No. 5
VASP calculation (meta-GGA SCAN) on a crystal of Ta4Se relaxed with PBEsol.

- Space-group type: I4/mmm, No. 139

a = 3.576 Å, b = 3.576 Å, c = 7.911 Å
α = 103.06°, β = 103.06°, γ = 90.00°
Fractional coordinates of all 5 atoms:
Se 0.000 0.000 0.000
Ta 0.750 0.250 0.500
Ta 0.250 0.750 0.500
Ta 0.595 0.595 0.191
Ta 0.405 0.405 0.809

=====

No. 6
VASP calculation (meta-GGA SCAN) on a crystal of Ta2Se relaxed with PBEsol.

- Space-group type: I4/mmm, No. 139

a = 3.017 Å, b = 3.017 Å, c = 5.995 Å
α = 104.58°, β = 104.58°, γ = 90.00°
Fractional coordinates of all 3 atoms:
Se 0.500 0.500 0.000
Ta 0.150 0.150 0.301
Ta 0.850 0.850 0.699

=====

No. 7
VASP calculation (meta-GGA SCAN) on a crystal of Ta3Se relaxed with PBEsol.

- Space-group type: Fm-3m, No. 225
- Excess energy over the best structure of this formula in the dataset: 28.4 kJ/mol of atoms

a = 4.607 Å, b = 4.607 Å, c = 4.607 Å
α = 60.00°, β = 60.00°, γ = 60.00°
Fractional coordinates of all 4 atoms:
Se 0.000 0.000 0.000
Ta 0.250 0.250 0.250
Ta 0.500 0.500 0.500
Ta 0.750 0.750 0.750

=====

No. 8
VASP calculation (meta-GGA SCAN) on a crystal of Ta3Se relaxed with PBEsol.

- Space-group type: Cmmm, No. 65
- Excess energy over the best structure of this formula in the dataset: 0.0 kJ/mol of atoms

a = 3.240 Å, b = 4.668 Å, c = 4.668 Å
α = 104.10°, β = 90.00°, γ = 90.00°
Fractional coordinates of all 4 atoms:
Se 0.000 0.000 0.000
Ta 0.500 0.000 0.500
Ta 0.500 0.500 0.000
Ta 0.000 0.500 0.500

=====

In eV per atom, the electronic total energy values for the records above are, in order, -58.82 -54.92 -39.45 -51.55 -56.56 -51.04 -54.63 -54.92.
In eV per formula unit, the formation energy from raw total energies values for the records above are, in order, 0.08 0.14 -3.83 -1.41 3.60 0.13 1.32 0.14.